Entry 1:
# PBE-GGA ErNiGeIr, optimized geometry
# Mass density = 11.65 g/cm3
# Final energy = -6.267 eV per atom
# Formation energy = -0.31 eV per atom
data_ErNiGeIr
_chemical_formula_sum 'Er2 Ni2 Ge2 Ir2'
_symmetry_space_group_name_H-M 'A m m 2'
_symmetry_Int_Tables_number 38
_cell_length_a 4.3646
_cell_length_b 3.1641
_cell_length_c 10.1280
_cell_angle_alpha 90.00
_cell_angle_beta 90.00
_cell_angle_gamma 90.00
loop_
_symmetry_equiv_pos_as_xyz
'x,y,z'
'-x,-y,z'
'-x,y,z'
'x,-y,z'
'x,y+1/2,z+1/2'
'-x,-y+1/2,z+1/2'
'-x,y+1/2,z+1/2'
'x,-y+1/2,z+1/2'
loop_
_atom_site_label
_atom_site_type_symbol
_atom_site_fract_x
_atom_site_fract_y
_atom_site_fract_z
Er1 Er 0.0000 0.0000 0.0000
Ni1 Ni 0.5000 0.0000 0.3285
Ge1 Ge 0.5000 0.0000 0.6337
Ir1 Ir 0.0000 0.0000 0.7406



Entry 2:
# PBE-GGA Pr6GaIr2I3, optimized geometry
# Mass density = 7.13 g/cm3
# Final energy = -5.381 eV per atom
data_Pr6GaIr2I3
_chemical_formula_sum 'Pr12 Ga2 Ir4 I6'
_symmetry_space_group_name_H-M 'C 1 2/m 1'
_symmetry_Int_Tables_number 12
_cell_length_a 7.4537
_cell_length_b 12.9079
_cell_length_c 8.5083
_cell_angle_alpha 90.00
_cell_angle_beta 107.01
_cell_angle_gamma 90.00
loop_
_symmetry_equiv_pos_as_xyz
'x,y,z'
'-x,-y,-z'
'-x,y,-z'
'x,-y,z'
'x+1/2,y+1/2,z'
'-x+1/2,-y+1/2,-z'
'-x+1/2,y+1/2,-z'
'x+1/2,-y+1/2,z'
loop_
_atom_site_label
_atom_site_type_symbol
_atom_site_fract_x
_atom_site_fract_y
_atom_site_fract_z
Pr1 Pr 0.2128 0.0000 0.1895
Pr2 Pr 0.2382 0.3247 0.1906
Ga1 Ga 0.0000 0.5000 0.0000
Ir1 Ir 0.0000 0.1669 0.0000
I1 I 0.0000 0.0000 0.5000
I2 I 0.0000 0.3374 0.5000



Entry 3:
# PBE-GGA VCoN3, optimized geometry
# Mass density = 4.69 g/cm3
# Final energy = -7.341 eV per atom
data_VCoN3
_chemical_formula_sum 'V1 Co1 N3'
_symmetry_space_group_name_H-M 'P m -3 m'
_symmetry_Int_Tables_number 221
_symmetry_space_group_name_Hall '-P 4 2 3'
_cell_length_a 3.7747
_cell_length_b 3.7747
_cell_length_c 3.7747
_cell_angle_alpha 90.00
_cell_angle_beta 90.00
_cell_angle_gamma 90.00
loop_
_atom_site_label
_atom_site_type_symbol
_atom_site_fract_x
_atom_site_fract_y
_atom_site_fract_z
V1 V 0.0000 0.0000 0.0000
Co1 Co 0.5000 0.5000 0.5000
N1 N 0.0000 0.0000 0.5000



Entry 4:
# PBE-GGA DyGaAg2, optimized geometry
# Mass density = 9.32 g/cm3
# Final energy = -3.642 eV per atom
# Formation energy = -0.31 eV per atom
# Energy relative to the lowest polymorph listed for this composition = 22 meV per atom
data_DyGaAg2
_chemical_formula_sum 'Dy4 Ga4 Ag8'
_symmetry_space_group_name_H-M 'F m -3 m'
_symmetry_Int_Tables_number 225
_symmetry_space_group_name_Hall '-F 4 2 3'
_cell_length_a 6.8346
_cell_length_b 6.8346
_cell_length_c 6.8346
_cell_angle_alpha 90.00
_cell_angle_beta 90.00
_cell_angle_gamma 90.00
loop_
_atom_site_label
_atom_site_type_symbol
_atom_site_fract_x
_atom_site_fract_y
_atom_site_fract_z
Dy1 Dy 0.0000 0.0000 0.0000
Ga1 Ga 0.0000 0.0000 0.5000
Ag1 Ag 0.2500 0.2500 0.2500



Entry 5:
# PBE-GGA Lu2AlSn, optimized geometry
# Mass density = 8.59 g/cm3
# Final energy = -4.607 eV per atom
# Formation energy = -0.41 eV per atom
data_Lu2AlSn
_chemical_formula_sum 'Lu2 Al1 Sn1'
_symmetry_space_group_name_H-M 'P 4/m m m'
_symmetry_Int_Tables_number 123
_symmetry_space_group_name_Hall '-P 4 2'
_cell_length_a 3.7022
_cell_length_b 3.7022
_cell_length_c 6.9937
_cell_angle_alpha 90.00
_cell_angle_beta 90.00
_cell_angle_gamma 90.00
loop_
_atom_site_label
_atom_site_type_symbol
_atom_site_fract_x
_atom_site_fract_y
_atom_site_fract_z
Lu1 Lu 0.0000 0.0000 0.2404
Al1 Al 0.5000 0.5000 0.0000
Sn1 Sn 0.5000 0.5000 0.5000



Entry 6:
# PBE-GGA HgIrAu2, optimized geometry
# Mass density = 18.33 g/cm3
# Final energy = -3.561 eV per atom
# Formation energy = 0.37 eV per atom
data_HgIrAu2
_chemical_formula_sum 'Hg2 Ir2 Au4'
_symmetry_space_group_name_H-M 'I -4 m 2'
_symmetry_Int_Tables_number 119
_symmetry_space_group_name_Hall 'I -4 -2'
_cell_length_a 4.2532
_cell_length_b 4.2532
_cell_length_c 7.8788
_cell_angle_alpha 90.00
_cell_angle_beta 90.00
_cell_angle_gamma 90.00
loop_
_atom_site_label
_atom_site_type_symbol
_atom_site_fract_x
_atom_site_fract_y
_atom_site_fract_z
Hg1 Hg 0.0000 0.0000 0.0000
Ir1 Ir 0.0000 0.5000 0.7500
Au1 Au 0.0000 0.0000 0.5000
Au2 Au 0.0000 0.5000 0.2500



Entry 7:
# PBE-GGA NbFeC2, optimized geometry
# Mass density = 6.08 g/cm3
# Final energy = -8.852 eV per atom
# Formation energy = 0.39 eV per atom
data_NbFeC2
_chemical_formula_sum 'Nb4 Fe4 C8'
_symmetry_space_group_name_H-M 'I -4 2 d'
_symmetry_Int_Tables_number 122
_symmetry_space_group_name_Hall 'I -4 2bw'
_cell_length_a 4.4822
_cell_length_b 4.4822
_cell_length_c 9.4026
_cell_angle_alpha 90.00
_cell_angle_beta 90.00
_cell_angle_gamma 90.00
loop_
_atom_site_label
_atom_site_type_symbol
_atom_site_fract_x
_atom_site_fract_y
_atom_site_fract_z
Nb1 Nb 0.0000 0.0000 0.0000
Fe1 Fe 0.0000 0.0000 0.5000
C1 C 0.1999 0.2500 0.6250



Entry 8:
# PBE-GGA TlSn2Pd2, optimized geometry
# Mass density = 9.09 g/cm3
# Final energy = -4.332 eV per atom
# Formation energy = -0.18 eV per atom
# Energy relative to the lowest polymorph listed for this composition = 87 meV per atom
data_TlSn2Pd2
_chemical_formula_sum 'Tl2 Sn4 Pd4'
_symmetry_space_group_name_H-M 'I 4/m m m'
_symmetry_Int_Tables_number 139
_symmetry_space_group_name_Hall '-I 4 2'
_cell_length_a 4.5509
_cell_length_b 4.5509
_cell_length_c 11.5434
_cell_angle_alpha 90.00
_cell_angle_beta 90.00
_cell_angle_gamma 90.00
loop_
_atom_site_label
_atom_site_type_symbol
_atom_site_fract_x
_atom_site_fract_y
_atom_site_fract_z
Tl1 Tl 0.0000 0.0000 0.0000
Sn1 Sn 0.0000 0.5000 0.2500
Pd1 Pd 0.0000 0.0000 0.3795



Taking the records one at a time from the top gives size of the total moment values of 0.000 0.000 0.557 0.000 0.000 0.000 0.000 0.000 μB/atom.